## InSeBr (PBE)

Data for a relaxed InSeBr crystal.

**Symmetry**: No. 1
**Uncorrected formation energy**: -0.65 eV/atom
**Crystal system**: triclinic
**V**: 98.1 Å³ per cell
**Total moment**: 0.00 Bohr magnetons per cell

Cell lengths 3.8993, 4.1036, 7.2544 Å; angles 87.40, 74.68, 61.64 degrees
Last column: nearest neighbours and their distance in Å.
Atoms (fractional coordinates):
In: 0.2847 0.0645 0.9030  3 Se 2.66-2.68, 2 Br 2.81
Se: 0.8545 0.7406 0.0907  3 In 2.66-2.68
Br: 0.8451 0.2118 0.6302  2 In 2.81